1.
Material: TaCdNi2
Method: DFT, PBE
State: optimized geometry

Values from the calculation:
**E_tot**: -6.06 eV per atom
**Formation energy from the elements**: 0.0232 eV/atom
**Total magnetic moment**: 0.00 μB/f.u.

a b c (Å): 6.3379 6.6298 2.8191
angles (deg): 90.00 90.00 90.00
Last column: nearest neighbours and their distance in Å.
Space group Cmmm (No. 65)
One atom of each set of equivalent atoms:
Ta1 0.0000 0.0000 0.0000 x2  8 Ni 2.69, 2 Ta 2.82
Cd1 0.0000 0.5000 0.0000 x2  8 Ni 2.69, 2 Cd 2.82
Ni1 0.2500 0.2500 0.5000 x4  4 Cd 2.69, 4 Ta 2.69, 2 Ni 2.82

2.
Material: TaCd4Ni
Method: DFT, PBE
State: optimized geometry

Values from the calculation:
**E_tot**: -2.87 eV per atom
**Formation energy from the elements**: 0.6786 eV/atom
**Total magnetic moment**: 1.98 μB/f.u.

a b c (Å): 7.8030 7.8030 7.8030
angles (deg): 90.00 90.00 90.00
Last column: nearest neighbours and their distance in Å.
Space group F-43m (No. 216)
One atom of each set of equivalent atoms:
Ta1 0.0000 0.0000 0.0000 x4  12 Cd 3.23, 4 Ni 3.38
Cd1 0.1250 0.1250 0.6250 x16  6 Cd 2.76
Ni1 0.2500 0.2500 0.2500 x4  12 Cd 3.23, 4 Ta 3.38

3.
Material: TaCdNi2
Method: DFT, PBE
State: optimized geometry

Values from the calculation:
**E_tot**: -5.81 eV per atom
**Formation energy from the elements**: 0.2736 eV/atom
**Total magnetic moment**: 0.00 μB/f.u.

a b c (Å): 6.1968 6.1968 6.1968
angles (deg): 90.00 90.00 90.00
Last column: nearest neighbours and their distance in Å.
Space group F-43m (No. 216)
One atom of each set of equivalent atoms:
Ta1 0.0000 0.0000 0.0000 x4  4 Cd 2.68, 4 Ni 2.68
Cd1 0.2500 0.2500 0.2500 x4  4 Ta 2.68, 4 Ni 2.68
Ni1 0.0000 0.0000 0.5000 x4  4 Cd 2.68, 4 Ni 2.68
Ni2 0.2500 0.2500 0.7500 x4  4 Ta 2.68, 4 Ni 2.68

4.
Material: TaCdNi2
Method: DFT, PBE
State: optimized geometry

Values from the calculation:
**E_tot**: -6.06 eV per atom
**Formation energy from the elements**: 0.0222 eV/atom
**Total magnetic moment**: 0.00 μB/f.u.

a b c (Å): 9.4662 2.7741 4.6416
angles (deg): 90.00 104.16 90.00
Last column: nearest neighbours and their distance in Å.
Space group Cm (No. 8)
One atom of each set of equivalent atoms:
Ta1 0.0000 0.0000 0.0000 x2  7 Ni 2.63-2.78, 2 Ta 2.77
Cd1 0.2230 0.0000 0.6471 x2  7 Ni 2.66-2.73, 2 Cd 2.77, 1 Ta 2.97
Ni1 0.2534 0.5000 0.1665 x2  4 Ni 2.59-2.77, 3 Ta 2.63-2.71, 4 Cd 2.70-2.73
Ni2 0.4699 0.0000 0.4703 x2  4 Ni 2.59-2.77, 4 Ta 2.66-2.78, 3 Cd 2.66-2.72

5.
Material: TaCdNi2
Method: DFT, PBE
State: optimized geometry

Values from the calculation:
**E_tot**: -6.22 eV per atom
**Formation energy from the elements**: -0.1327 eV/atom
**Total magnetic moment**: 0.00 μB/f.u.

a b c (Å): 3.1369 3.1369 6.2377
angles (deg): 90.00 90.00 90.00
Last column: nearest neighbours and their distance in Å.
Space group P4/mmm (No. 123)
One atom of each set of equivalent atoms:
Ta1 0.0000 0.0000 0.0000 x1  8 Ni 2.58
Cd1 0.0000 0.0000 0.5000 x1  8 Ni 2.86, 2 Ta 3.12, 4 Cd 3.14
Ni1 0.5000 0.5000 0.2104 x2  4 Ta 2.58, 1 Ni 2.63, 4 Cd 2.86

6.
Material: TaCd3Ni
Method: DFT, PBE
State: optimized geometry

Values from the calculation:
**E_tot**: -3.12 eV per atom
**Formation energy from the elements**: 0.9593 eV/atom
**Total magnetic moment**: 0.83 μB/f.u.

a b c (Å): 4.7395 4.7395 4.7395
angles (deg): 90.00 90.00 90.00
Last column: nearest neighbours and their distance in Å.
Space group Pm-3m (No. 221)
One atom of each set of equivalent atoms:
Ta1 0.0000 0.0000 0.0000 x1  12 Cd 3.35
Cd1 0.0000 0.5000 0.5000 x3  2 Ni 2.37
Ni1 0.5000 0.5000 0.5000 x1  6 Cd 2.37

7.
Material: TaCd2Ni2
Method: DFT, PBE
State: optimized geometry

Values from the calculation:
**E_tot**: -4.88 eV per atom
**Formation energy from the elements**: 0.1713 eV/atom
**Total magnetic moment**: 0.00 μB/f.u.

a b c (Å): 6.3268 6.3268 4.1573
angles (deg): 90.00 90.00 90.00
Last column: nearest neighbours and their distance in Å.
Space group P4/mbm (No. 127)
One atom of each set of equivalent atoms:
Ta1 0.0000 0.0000 0.0000 x2  4 Ni 2.48
Cd1 0.1736 0.3264 0.5000 x4  6 Ni 2.72-2.84
Ni1 0.1298 0.6298 0.0000 x4  1 Ni 2.32, 2 Ta 2.48

8.
Material: TaCdNi3
Method: DFT, PBE
State: optimized geometry

Values from the calculation:
**E_tot**: -4.95 eV per atom
**Formation energy from the elements**: 1.0700 eV/atom
**Total magnetic moment**: 0.00 μB/f.u.

a b c (Å): 4.5707 4.5707 4.5707
angles (deg): 90.00 90.00 90.00
Last column: nearest neighbours and their distance in Å.
Space group Pm-3m (No. 221)
One atom of each set of equivalent atoms:
Ta1 0.0000 0.0000 0.0000 x1  6 Ni 2.29
Cd1 0.5000 0.5000 0.5000 x1  12 Ni 3.23
Ni1 0.0000 0.0000 0.5000 x3  2 Ta 2.29

9.
Material: Ta2CdNiTe
Method: DFT, PBE
State: optimized geometry

Values from the calculation:
**E_tot**: -5.73 eV per atom
**Formation energy from raw total energies**: 0.979 eV/atom
**Total magnetic moment**: 0.58 μB/f.u.

a b c (Å): 4.6822 4.6822 5.0804
angles (deg): 90.00 90.00 90.00
Last column: nearest neighbours and their distance in Å.
Space group P4/mmm (No. 123)
One atom of each set of equivalent atoms:
Ta1 0.0000 0.5000 0.0000 x2  2 Ni 2.34
Cd1 0.0000 0.0000 0.5000 x1  4 Te 3.31, 8 Ta 3.45
Ni1 0.5000 0.5000 0.0000 x1  4 Ta 2.34, 2 Te 2.54
Te1 0.5000 0.5000 0.5000 x1  2 Ni 2.54

10.
Material: TbCdNi2
Method: DFT, PBE
State: optimized geometry

Values from the calculation:
**E_tot**: -4.51 eV per atom
**Formation energy from the elements**: -0.2372 eV/atom
**Total magnetic moment**: 0.00 μB/f.u.

a b c (Å): 6.5153 6.5153 6.5153
angles (deg): 90.00 90.00 90.00
Last column: nearest neighbours and their distance in Å.
Space group Fm-3m (No. 225)
One atom of each set of equivalent atoms:
Tb1 0.0000 0.0000 0.0000 x4  8 Ni 2.82
Cd1 0.0000 0.0000 0.5000 x4  8 Ni 2.82
Ni1 0.2500 0.2500 0.2500 x8  4 Cd 2.82, 4 Tb 2.82

11.
Material: TbCd3Ni8
Method: DFT, PBE
State: optimized geometry

Values from the calculation:
**E_tot**: -4.61 eV per atom
**Formation energy from the elements**: -0.1444 eV/atom
**Total magnetic moment**: 0.99 μB/f.u.

a b c (Å): 4.9453 4.9453 24.2152
angles (deg): 90.00 90.00 120.00
Last column: nearest neighbours and their distance in Å.
Space group R3m (No. 160, hexagonal axes)
One atom of each set of equivalent atoms:
Tb1 0.0000 0.0000 0.0000 x3  12 Ni 2.90-2.93, 4 Cd 3.07-3.08
Cd1 0.0000 0.0000 0.1272 x3  12 Ni 2.82-2.93, 3 Cd 3.00, 1 Tb 3.08
Cd2 0.0000 0.0000 0.4979 x3  12 Ni 2.85-2.91, 4 Cd 2.95-3.00
Cd3 0.0000 0.0000 0.6198 x3  12 Ni 2.85-3.01, 1 Cd 2.95, 3 Tb 3.07
Ni1 0.0000 0.0000 0.3115 x3  6 Ni 2.47-2.49
Ni2 0.0000 0.0000 0.8117 x3  6 Ni 2.46-2.47
Ni3 0.0001 0.5000 0.0625 x9  6 Ni 2.46-2.49
Ni4 0.1675 0.3349 0.8945 x9  6 Ni 2.46-2.48

12.
Material: Tb6Cd2Ni
Method: DFT, PBE
State: optimized geometry

Values from the calculation:
**E_tot**: -4.08 eV per atom
**Formation energy from the elements**: -0.1438 eV/atom
**Total magnetic moment**: 0.00 μB/f.u.

a b c (Å): 7.2686 7.1802 12.1731
angles (deg): 90.00 125.65 90.00
Last column: nearest neighbours and their distance in Å.
Space group P2_1/c (No. 14)
One atom of each set of equivalent atoms:
Tb1 0.1756 0.0001 0.2558 x4  1 Ni 2.59
Tb2 0.2955 0.2456 0.5437 x4  1 Ni 2.63
Tb3 0.2966 0.7473 0.0432 x4  1 Ni 2.63
Cd1 0.2574 0.5013 0.2564 x4  5 Tb 3.06-3.29
Ni1 0.0000 0.0000 0.0000 x2  6 Tb 2.59-2.63

Repeat the second record exactly.
Material: TaCd4Ni
Method: DFT, PBE
State: optimized geometry

Values from the calculation:
**E_tot**: -2.87 eV per atom
**Formation energy from the elements**: 0.6786 eV/atom
**Total magnetic moment**: 1.98 μB/f.u.

a b c (Å): 7.8030 7.8030 7.8030
angles (deg): 90.00 90.00 90.00
Last column: nearest neighbours and their distance in Å.
Space group F-43m (No. 216)
One atom of each set of equivalent atoms:
Ta1 0.0000 0.0000 0.0000 x4  12 Cd 3.23, 4 Ni 3.38
Cd1 0.1250 0.1250 0.6250 x16  6 Cd 2.76
Ni1 0.2500 0.2500 0.2500 x4  12 Cd 3.23, 4 Ta 3.38

Question: Look up the E_tot of the fourth one.
Answer: -6.06 eV per atom

Question: What is the total magnetic moment in the first record?
Answer: 0.00 μB/f.u.